No. 1
The following is a DFT calculation (PBE-GGA) of an optimized crystal structure of Cs2HoB2S6.

Cell lengths 6.7643, 6.7677, 8.8692 Å; angles 112.34, 90.00, 119.98 degrees
With the nearest neighbours (Å) after each atom.
Sites, in units of the cell vectors:
Cs 0.7095 0.4190 0.1284  9 S 3.60-3.88
Cs 0.2905 0.5810 0.8716  9 S 3.60-3.88
Ho 0.5000 0.0000 0.5000  6 S 2.73
B 0.9013 0.8027 0.7033  3 S 1.82
B 0.0987 0.1973 0.2967  3 S 1.82
S 0.7515 0.5031 0.7177  1 B 1.82
S 0.2480 0.0321 0.2807  1 B 1.82
S 0.2158 0.9679 0.7193  1 B 1.82
S 0.7520 0.9679 0.7193  1 B 1.82
S 0.7842 0.0321 0.2807  1 B 1.82
S 0.2485 0.4969 0.2823  1 B 1.82

Summary:
space-group type	C2/m, No. 12
final energy	-55.2	eV for the cell shown
formation energy from raw total energies	-1039	kJ/mol of formula units



No. 2
The following is a DFT calculation (PBE-GGA) of an optimized crystal structure of Cs2B2I.

Cell lengths 3.7128, 3.7128, 11.6112 Å; angles 80.80, 80.80, 90.00 degrees
With the nearest neighbours (Å) after each atom.
Sites, in units of the cell vectors:
Cs 0.3825 0.3825 0.2349  4 B 3.53, 4 Cs 3.71, 4 I 3.74
Cs 0.6175 0.6175 0.7651  4 B 3.53, 4 Cs 3.71, 4 I 3.74
I 0.0000 0.0000 0.0000  4 I 3.71, 8 Cs 3.74
B 0.7500 0.2500 0.5000  4 B 2.63
B 0.2500 0.7500 0.5000  4 B 2.63

Summary:
space-group type	I4/mmm, No. 139
final energy	-11.8	eV for the cell shown
formation energy from raw total energies	469	kJ/mol of formula units



No. 3
The following is a DFT calculation (PBE-GGA) of an optimized crystal structure of CsB3I.

Cell lengths 4.8883, 4.8883, 4.8883 Å; angles 90.00, 90.00, 90.00 degrees
With the nearest neighbours (Å) after each atom.
Sites, in units of the cell vectors:
Cs 0.5000 0.5000 0.5000  12 B 3.46
I 0.0000 0.0000 0.0000  6 B 2.44
B 0.0000 0.5000 0.0000  2 I 2.44
B 0.0000 0.0000 0.5000  2 I 2.44
B 0.5000 0.0000 0.0000  2 I 2.44

Summary:
space-group type	Pm-3m, No. 221
energy above the most stable polymorph in this dataset	0.000	eV per atom
final energy	-10.3	eV for the cell shown
formation energy from raw total energies	1169	kJ/mol of formula units



No. 4
The following is a DFT calculation (PBE-GGA) of an optimized crystal structure of CsBI2.

Cell lengths 6.0319, 6.0319, 6.0319 Å; angles 60.00, 60.00, 60.00 degrees
With the nearest neighbours (Å) after each atom.
Sites, in units of the cell vectors:
Cs 0.5000 0.5000 0.5000  8 I 3.69
I 0.2500 0.2500 0.2500  4 B 3.69, 4 Cs 3.69
I 0.7500 0.7500 0.7500  4 B 3.69, 4 Cs 3.69
B 0.0000 0.0000 0.0000  8 I 3.69

Summary:
space-group type	Fm-3m, No. 225
final energy	-8.8	eV for the cell shown
formation energy from raw total energies	176	kJ/mol of formula units



Question: Among the records above, which one has the highest final energy?
Answer: CsBI2



Question: Which value of final energy does entry 4 give?
Answer: -8.8 eV for the cell shown



Copy entry 1 word for word.
The following is a DFT calculation (PBE-GGA) of an optimized crystal structure of Cs2HoB2S6.

Cell lengths 6.7643, 6.7677, 8.8692 Å; angles 112.34, 90.00, 119.98 degrees
With the nearest neighbours (Å) after each atom.
Sites, in units of the cell vectors:
Cs 0.7095 0.4190 0.1284  9 S 3.60-3.88
Cs 0.2905 0.5810 0.8716  9 S 3.60-3.88
Ho 0.5000 0.0000 0.5000  6 S 2.73
B 0.9013 0.8027 0.7033  3 S 1.82
B 0.0987 0.1973 0.2967  3 S 1.82
S 0.7515 0.5031 0.7177  1 B 1.82
S 0.2480 0.0321 0.2807  1 B 1.82
S 0.2158 0.9679 0.7193  1 B 1.82
S 0.7520 0.9679 0.7193  1 B 1.82
S 0.7842 0.0321 0.2807  1 B 1.82
S 0.2485 0.4969 0.2823  1 B 1.82

Summary:
space-group type	C2/m, No. 12
final energy	-55.2	eV for the cell shown
formation energy from raw total energies	-1039	kJ/mol of formula units